Entry 1:
{"formula": "Ho2TmGa2Rh5", "functional": "GGA-PBE", "state": "optimized geometry", "total_magnetization_mub_per_atom": 0.0000, "total_energy_ev_per_atom": -6.5050, "rho_g_cm3": 10.730, "delta_e_f_ev_per_atom": -0.86, "cell": [[3.577, 0.000, 0.000], [0.000, 9.987, 0.000], [0.000, 0.000, 9.987]], "species": ["Tm", "Tm", "Ho", "Ho", "Ho", "Ho", "Rh", "Rh", "Rh", "Rh", "Rh", "Rh", "Rh", "Rh", "Rh", "Rh", "Ga", "Ga", "Ga", "Ga"], "fractional_positions": [[0.000, 0.000, 0.000], [0.000, 0.500, 0.500], [0.000, 0.827, 0.673], [0.000, 0.673, 0.173], [0.000, 0.327, 0.827], [0.000, 0.173, 0.327], [0.500, 0.571, 0.711], [0.500, 0.000, 0.500], [0.500, 0.289, 0.571], [0.500, 0.211, 0.071], [0.500, 0.711, 0.429], [0.500, 0.500, 0.000], [0.500, 0.429, 0.289], [0.500, 0.789, 0.929], [0.500, 0.929, 0.211], [0.500, 0.071, 0.789], [0.000, 0.124, 0.624], [0.000, 0.876, 0.376], [0.000, 0.624, 0.876], [0.000, 0.376, 0.124]]}

=====

Entry 2:
{"formula": "Tb2Nd6DyTh", "functional": "GGA-PBE", "state": "optimized geometry", "total_magnetization_mub_per_atom": 0.0000, "total_energy_ev_per_atom": -4.8454, "rho_g_cm3": 7.646, "delta_e_f_ev_per_atom": 0.14, "cell": [[9.315, -2.206, -2.289], [0.832, 8.618, -1.926], [0.832, -2.244, 8.541]], "species": ["Tb", "Tb", "Tb", "Tb", "Dy", "Dy", "Nd", "Nd", "Nd", "Nd", "Nd", "Nd", "Nd", "Nd", "Nd", "Nd", "Nd", "Nd", "Th", "Th"], "fractional_positions": [[0.451, 0.802, 0.712], [0.049, 0.288, 0.198], [0.549, 0.198, 0.288], [0.951, 0.712, 0.802], [0.250, 0.407, 0.593], [0.750, 0.593, 0.407], [0.313, 0.988, 0.425], [0.880, 0.299, 0.510], [0.557, 0.755, 0.109], [0.120, 0.701, 0.490], [0.057, 0.109, 0.755], [0.943, 0.891, 0.245], [0.443, 0.245, 0.891], [0.380, 0.510, 0.299], [0.187, 0.575, 0.012], [0.687, 0.012, 0.575], [0.620, 0.490, 0.701], [0.813, 0.425, 0.988], [0.750, 0.026, 0.974], [0.250, 0.974, 0.026]]}

=====

Entry 3:
{"formula": "CrFeAu2", "functional": "GGA-PBE", "state": "optimized geometry", "total_magnetization_mub_per_atom": 1.7453, "total_energy_ev_per_atom": -5.9081, "rho_g_cm3": 12.923, "delta_e_f_ev_per_atom": 0.25, "cell": [[2.965, 0.000, 0.000], [0.000, 2.965, 0.000], [0.000, 0.000, 7.335]], "species": ["Au", "Au", "Fe", "Cr"], "fractional_positions": [[0.000, 0.000, 0.508], [0.000, 0.000, 0.992], [0.500, 0.500, 0.750], [0.500, 0.500, 0.250]]}

=====

Entry 4:
{"formula": "Cd2InAg", "functional": "GGA-PBE", "state": "optimized geometry", "total_magnetization_mub_per_atom": 0.0000, "total_energy_ev_per_atom": -1.7753, "rho_g_cm3": 7.806, "delta_e_f_ev_per_atom": 0.08, "cell": [[4.316, 0.000, 0.000], [0.000, 4.316, 0.000], [2.158, 2.158, 10.222]], "species": ["In", "In", "Ag", "Ag", "Cd", "Cd", "Cd", "Cd"], "fractional_positions": [[0.000, 0.000, 0.000], [0.750, 0.250, 0.500], [0.500, 0.500, 0.000], [0.250, 0.750, 0.500], [0.614, 0.125, 0.250], [0.136, 0.625, 0.250], [0.875, 0.864, 0.750], [0.375, 0.386, 0.750]]}

=====

Entry 5:
{"formula": "CsHgF5", "functional": "GGA-PBE", "state": "optimized geometry", "de_polymorph_mev_per_atom": 12.2, "total_magnetization_mub_per_atom": 0.0560, "raw_formation_energy_ev_per_atom": -1.508, "total_energy_ev_per_atom": -3.0093, "rho_g_cm3": 5.075, "cell": [[6.037, 0.284, 0.265], [2.184, 5.636, 0.265], [3.247, 2.338, 8.603]], "species": ["Cs", "Cs", "F", "F", "F", "F", "F", "F", "F", "F", "F", "F", "Hg", "Hg"], "fractional_positions": [[0.500, 0.500, 0.250], [0.500, 0.500, 0.750], [0.935, 0.376, 0.922], [0.624, 0.066, 0.077], [0.624, 0.065, 0.578], [0.934, 0.376, 0.423], [0.376, 0.935, 0.422], [0.066, 0.624, 0.577], [0.376, 0.934, 0.923], [0.000, 0.000, 0.250], [0.000, 0.000, 0.750], [0.065, 0.624, 0.078], [0.000, 0.000, 0.500], [0.000, 0.000, 0.000]]}

=====

Entry 6:
{"formula": "SrAu6", "functional": "GGA-PBE", "state": "optimized geometry", "de_polymorph_mev_per_atom": 710.8, "total_magnetization_mub_per_atom": 0.0000, "total_energy_ev_per_atom": -2.6972, "rho_g_cm3": 7.824, "delta_e_f_ev_per_atom": 0.35, "cell": [[-5.566, -1.336, 2.991], [3.128, -0.418, 5.635], [-0.972, 6.305, 1.007]], "species": ["Au", "Au", "Au", "Au", "Au", "Au", "Sr"], "fractional_positions": [[0.500, 0.500, 0.804], [0.500, 0.500, 0.196], [0.196, 0.500, 0.500], [0.500, 0.196, 0.500], [0.804, 0.500, 0.500], [0.500, 0.804, 0.500], [0.000, 0.000, 0.000]]}

=====

Entry 7:
{"formula": "Sr2Cu2O5", "functional": "GGA-PBE", "state": "optimized geometry", "de_polymorph_mev_per_atom": 70.6, "total_magnetization_mub_per_atom": 0.1810, "raw_formation_energy_ev_per_atom": -1.483, "total_energy_ev_per_atom": -5.5216, "rho_g_cm3": 5.176, "cell": [[0.618, 3.417, -4.171], [2.753, -3.867, -2.629], [-8.791, -2.564, 0.063]], "species": ["Cu", "Cu", "Cu", "Cu", "O", "O", "O", "O", "O", "O", "O", "O", "O", "O", "Sr", "Sr", "Sr", "Sr"], "fractional_positions": [[0.316, 0.817, 0.000], [0.684, 0.183, 0.000], [0.500, 0.000, 0.500], [0.000, 0.500, 0.500], [0.353, 0.853, 0.214], [0.749, 0.249, 0.498], [0.139, 0.640, 0.786], [0.861, 0.360, 0.214], [0.250, 0.250, 0.500], [0.647, 0.147, 0.786], [0.678, 0.821, 0.000], [0.251, 0.751, 0.502], [0.322, 0.179, 0.000], [0.750, 0.750, 0.500], [0.389, 0.397, 0.286], [0.103, 0.111, 0.714], [0.897, 0.889, 0.286], [0.611, 0.603, 0.714]]}

=====

Entry 8:
{"formula": "YOsRu2", "functional": "GGA-PBE", "state": "optimized geometry", "de_polymorph_mev_per_atom": 151.0, "total_magnetization_mub_per_atom": 0.0003, "total_energy_ev_per_atom": -8.7496, "rho_g_cm3": 11.961, "delta_e_f_ev_per_atom": 0.31, "cell": [[-2.699, -3.655, 2.183], [1.667, -4.577, -1.298], [2.282, 4.132, 1.768]], "species": ["Y", "Os", "Ru", "Ru"], "fractional_positions": [[0.500, 0.500, 0.000], [0.750, 0.250, 0.500], [0.250, 0.750, 0.500], [0.000, 0.000, 0.000]]}

=====

Entry 9:
{"formula": "OsSe2SBr", "functional": "GGA-PBE", "state": "optimized geometry", "de_polymorph_mev_per_atom": 0.0, "total_magnetization_mub_per_atom": 0.0000, "raw_formation_energy_ev_per_atom": 0.816, "total_energy_ev_per_atom": -3.9839, "rho_g_cm3": 6.497, "cell": [[-2.689, -0.928, -3.876], [3.068, -3.467, -1.298], [-2.692, -3.385, 2.678]], "species": ["S", "Br", "Se", "Se", "Os"], "fractional_positions": [[0.500, 0.500, 0.500], [0.000, 0.000, 0.500], [0.000, 0.500, 0.000], [0.500, 0.000, 0.000], [0.000, 0.000, 0.000]]}

=====

Entry 10:
{"formula": "Cu7Ni2Pt2", "functional": "GGA-PBE", "state": "optimized geometry", "de_polymorph_mev_per_atom": 34.0, "total_magnetization_mub_per_atom": 0.0114, "total_energy_ev_per_atom": -4.6955, "rho_g_cm3": 11.167, "delta_e_f_ev_per_atom": 0.06, "cell": [[4.242, 0.963, 1.101], [0.502, 5.878, 0.532], [0.502, -0.255, 5.896]], "species": ["Pt", "Pt", "Cu", "Cu", "Cu", "Cu", "Cu", "Cu", "Cu", "Ni", "Ni"], "fractional_positions": [[0.000, 0.202, 0.798], [0.000, 0.798, 0.202], [0.958, 0.257, 0.257], [0.345, 0.920, 0.415], [0.500, 0.000, 0.000], [0.345, 0.415, 0.920], [0.655, 0.585, 0.080], [0.655, 0.080, 0.585], [0.042, 0.743, 0.743], [0.693, 0.576, 0.576], [0.307, 0.424, 0.424]]}

=====

Entry 11:
{"formula": "BaNaAs2Pd", "functional": "GGA-PBE", "state": "optimized geometry", "total_magnetization_mub_per_atom": 0.0000, "total_energy_ev_per_atom": -4.2093, "rho_g_cm3": 5.504, "delta_e_f_ev_per_atom": -0.66, "cell": [[-4.507, -3.319, -3.455], [3.178, -4.905, 0.565], [-3.172, -1.421, 5.502]], "species": ["Na", "Na", "Ba", "Ba", "As", "As", "As", "As", "Pd", "Pd"], "fractional_positions": [[0.390, 0.250, 0.000], [0.610, 0.750, 0.000], [0.223, 0.250, 0.500], [0.777, 0.750, 0.500], [0.224, 0.750, 0.227], [0.776, 0.250, 0.227], [0.776, 0.250, 0.773], [0.224, 0.750, 0.773], [0.000, 0.000, 0.000], [0.000, 0.500, 0.000]]}

=====

Entry 12:
{"formula": "Mg2InPb6", "functional": "GGA-PBE", "state": "optimized geometry", "de_polymorph_mev_per_atom": 0.0, "total_magnetization_mub_per_atom": 0.0000, "total_energy_ev_per_atom": -3.1087, "rho_g_cm3": 8.870, "delta_e_f_ev_per_atom": 0.02, "cell": [[3.547, 0.000, 0.000], [-1.774, 3.072, 0.000], [0.000, 0.000, 24.168]], "species": ["Pb", "Pb", "Pb", "Pb", "Pb", "Pb", "Mg", "Mg", "In"], "fractional_positions": [[0.333, 0.667, 0.433], [0.333, 0.667, 0.232], [0.333, 0.667, 0.768], [0.667, 0.333, 0.113], [0.333, 0.667, 0.567], [0.667, 0.333, 0.887], [0.667, 0.333, 0.333], [0.667, 0.333, 0.667], [0.333, 0.667, 0.000]]}

=====

Entry 13:
{"formula": "ScIn2Fe", "functional": "GGA-PBE", "state": "optimized geometry", "total_magnetization_mub_per_atom": 0.0004, "total_energy_ev_per_atom": -5.0357, "rho_g_cm3": 7.524, "delta_e_f_ev_per_atom": 0.03, "cell": [[0.000, 3.316, 3.316], [3.316, 0.000, 3.316], [3.316, 3.316, 0.000]], "species": ["In", "In", "Sc", "Fe"], "fractional_positions": [[0.250, 0.250, 0.250], [0.750, 0.750, 0.750], [0.000, 0.000, 0.000], [0.500, 0.500, 0.500]]}

=====

Entry 14:
{"formula": "Rb2Dy2HfSe6", "functional": "GGA-PBE", "state": "optimized geometry", "total_magnetization_mub_per_atom": 0.0000, "raw_formation_energy_ev_per_atom": -1.646, "total_energy_ev_per_atom": -5.4645, "rho_g_cm3": 5.392, "cell": [[7.047, -0.002, 0.049], [-3.484, 6.125, 0.049], [-1.285, -2.209, 8.159]], "species": ["Se", "Se", "Se", "Se", "Se", "Se", "Rb", "Rb", "Dy", "Dy", "Hf"], "fractional_positions": [[0.250, 0.250, 0.311], [0.933, 0.618, 0.310], [0.067, 0.382, 0.690], [0.382, 0.067, 0.690], [0.618, 0.933, 0.310], [0.750, 0.750, 0.689], [0.829, 0.171, 0.000], [0.171, 0.829, 0.000], [0.333, 0.667, 0.500], [0.667, 0.333, 0.500], [0.000, 0.000, 0.500]]}

=====

Entry 15:
{"formula": "CuRe3Os", "functional": "GGA-PBE", "state": "optimized geometry", "de_polymorph_mev_per_atom": 314.4, "total_magnetization_mub_per_atom": 0.3502, "total_energy_ev_per_atom": -8.1590, "rho_g_cm3": 12.897, "delta_e_f_ev_per_atom": 2.38, "cell": [[4.712, 0.000, 0.000], [0.000, 4.712, 0.000], [0.000, 0.000, 4.712]], "species": ["Cu", "Os", "Re", "Re", "Re"], "fractional_positions": [[0.500, 0.500, 0.500], [0.000, 0.000, 0.000], [0.000, 0.500, 0.000], [0.500, 0.000, 0.000], [0.000, 0.000, 0.500]]}

=====

Entry 16:
{"formula": "Sr3SnP3", "functional": "GGA-PBE", "state": "optimized geometry", "de_polymorph_mev_per_atom": 158.5, "total_magnetization_mub_per_atom": 0.0004, "total_energy_ev_per_atom": -4.3139, "rho_g_cm3": 4.021, "delta_e_f_ev_per_atom": -0.70, "cell": [[6.178, 0.000, 0.000], [-2.059, 6.051, 0.000], [-2.059, -3.026, 5.241]], "species": ["Sn", "P", "P", "P", "Sr", "Sr", "Sr"], "fractional_positions": [[0.472, 0.000, 0.000], [0.466, 0.404, 0.000], [0.466, 0.000, 0.404], [0.062, 0.596, 0.596], [0.985, 0.000, 0.446], [0.985, 0.446, 0.000], [0.539, 0.554, 0.554]]}

=====

Entry 17:
{"formula": "Tl4CdF6", "functional": "GGA-PBE", "state": "optimized geometry", "total_magnetization_mub_per_atom": 0.0000, "raw_formation_energy_ev_per_atom": -1.858, "total_energy_ev_per_atom": -3.8228, "rho_g_cm3": 7.542, "cell": [[7.718, -0.020, -0.045], [0.045, 7.717, -0.045], [0.020, 0.020, 7.718]], "species": ["F", "F", "F", "F", "F", "F", "F", "F", "F", "F", "F", "F", "Tl", "Tl", "Tl", "Tl", "Tl", "Tl", "Tl", "Tl", "Cd", "Cd"], "fractional_positions": [[0.717, 0.055, 0.068], [0.445, 0.783, 0.432], [0.217, 0.432, 0.445], [0.068, 0.283, 0.055], [0.568, 0.445, 0.217], [0.932, 0.717, 0.945], [0.555, 0.217, 0.568], [0.283, 0.945, 0.932], [0.432, 0.555, 0.783], [0.945, 0.068, 0.717], [0.783, 0.568, 0.555], [0.055, 0.932, 0.283], [0.750, 0.396, 0.896], [0.396, 0.104, 0.250], [0.604, 0.896, 0.750], [0.250, 0.604, 0.104], [0.104, 0.750, 0.604], [0.250, 0.250, 0.750], [0.896, 0.250, 0.396], [0.750, 0.750, 0.250], [0.500, 0.500, 0.500], [0.000, 0.000, 0.000]]}

=====

Entry 18:
{"formula": "Ba2PrPbO4", "functional": "GGA-PBE", "state": "optimized geometry", "total_magnetization_mub_per_atom": 0.1035, "raw_formation_energy_ev_per_atom": -2.202, "total_energy_ev_per_atom": -6.2223, "rho_g_cm3": 6.813, "cell": [[-2.490, -2.642, 0.548], [3.298, -4.242, -5.472], [2.045, -0.568, 6.556]], "species": ["Ba", "Ba", "O", "O", "O", "O", "Pr", "Pb"], "fractional_positions": [[0.000, 0.500, 0.500], [0.500, 0.000, 0.500], [0.500, 0.713, 0.832], [0.500, 0.287, 0.168], [0.000, 0.696, 0.263], [0.000, 0.304, 0.737], [0.500, 0.500, 0.000], [0.000, 0.000, 0.000]]}

=====

Entry 19:
{"formula": "As2P", "functional": "GGA-PBE", "state": "optimized geometry", "de_polymorph_mev_per_atom": 107.8, "total_magnetization_mub_per_atom": 0.0000, "total_energy_ev_per_atom": -4.7365, "rho_g_cm3": 5.392, "delta_e_f_ev_per_atom": 0.17, "cell": [[-9.665, -5.454, 2.659], [1.884, -2.269, 2.196], [-0.376, 1.660, 2.037]], "species": ["As", "As", "As", "As", "P", "P"], "fractional_positions": [[0.658, 0.000, 0.500], [0.842, 0.500, 0.500], [0.342, 0.000, 0.500], [0.158, 0.500, 0.500], [0.500, 0.500, 0.500], [0.000, 0.000, 0.500]]}

=====

Entry 20:
{"formula": "SmTc2B6", "functional": "GGA-PBE", "state": "optimized geometry", "de_polymorph_mev_per_atom": 0.0, "total_magnetization_mub_per_atom": 0.0000, "total_energy_ev_per_atom": -7.7392, "rho_g_cm3": 7.404, "delta_e_f_ev_per_atom": -0.46, "cell": [[-2.170, 2.259, -0.499], [-0.114, 0.875, -5.621], [-4.628, -2.655, -1.978]], "species": ["B", "B", "B", "B", "B", "B", "Tc", "Tc", "Sm"], "fractional_positions": [[0.191, 0.567, 0.050], [0.809, 0.950, 0.433], [0.000, 0.148, 0.852], [0.000, 0.852, 0.148], [0.809, 0.433, 0.950], [0.191, 0.050, 0.567], [0.662, 0.838, 0.838], [0.338, 0.162, 0.162], [0.500, 0.500, 0.500]]}

=====

Entry 21:
{"formula": "Zn2Tc2Sn", "functional": "GGA-PBE", "state": "optimized geometry", "de_polymorph_mev_per_atom": 0.0, "total_magnetization_mub_per_atom": 0.0000, "total_energy_ev_per_atom": -5.2452, "rho_g_cm3": 8.743, "delta_e_f_ev_per_atom": 0.21, "cell": [[-3.294, 3.388, -4.929], [-4.989, -4.661, 0.130], [-1.754, 1.948, 2.511]], "species": ["Zn", "Zn", "Zn", "Zn", "Tc", "Tc", "Tc", "Tc", "Sn", "Sn"], "fractional_positions": [[0.166, 0.666, 0.500], [0.666, 0.834, 0.500], [0.834, 0.334, 0.500], [0.334, 0.166, 0.500], [0.873, 0.627, 0.000], [0.127, 0.373, 0.000], [0.627, 0.127, 0.000], [0.373, 0.873, 0.000], [0.000, 0.000, 0.000], [0.500, 0.500, 0.000]]}

=====

Entry 22:
{"formula": "Ce3CdPt8", "functional": "GGA-PBE", "state": "optimized geometry", "total_magnetization_mub_per_atom": 0.1432, "total_energy_ev_per_atom": -6.5224, "rho_g_cm3": 15.127, "delta_e_f_ev_per_atom": -0.94, "cell": [[5.454, 0.000, 0.000], [2.727, 4.723, 0.000], [2.727, 1.574, 8.921]], "species": ["Pt", "Pt", "Pt", "Pt", "Pt", "Pt", "Pt", "Pt", "Ce", "Ce", "Ce", "Cd"], "fractional_positions": [[0.688, 0.688, 0.936], [0.437, 0.938, 0.688], [0.938, 0.437, 0.688], [0.938, 0.938, 0.688], [0.188, 0.188, 0.436], [0.437, 0.940, 0.186], [0.940, 0.437, 0.186], [0.437, 0.437, 0.186], [0.504, 0.504, 0.487], [0.377, 0.377, 0.868], [0.994, 0.994, 0.017], [0.871, 0.871, 0.386]]}